Record 1
## NaSrLi (GGA-PBE)

Data for a geometry-optimized NaSrLi structure.

**Magnetization**: 0.000 μB per atom
**E_tot**: -17.26 eV/cell
**DOS at the Fermi energy**: 0.72 states/eV per atom

Cell: 7.9935 7.9935 7.9935 Å, 90.00 90.00 90.00°
With the nearest neighbours (Å) after each atom.
Space group F-43m (No. 216)
Inequivalent atoms, fractional coordinates:
Na (0.0000, 0.0000, 0.0000) (multiplicity 4)  4 Li 3.46
Sr (0.0000, 0.0000, 0.5000) (multiplicity 4)  4 Li 3.46
Li (0.2500, 0.2500, 0.2500) (multiplicity 4)  4 Na 3.46, 4 Sr 3.46

Record 2
## NaSr4Li (GGA-PBE)

Data for a geometry-optimized NaSr4Li structure.

**Magnetization**: 0.000 μB per atom
**E_tot**: -9.87 eV/cell
**DOS at the Fermi energy**: 0.90 states/eV per atom

Cell: 4.3078 4.3078 14.9617 Å, 90.00 90.00 90.00°
With the nearest neighbours (Å) after each atom.
Space group P4/mmm (No. 123)
Inequivalent atoms, fractional coordinates:
Na (0.0000, 0.0000, 0.0000) (multiplicity 1)  8 Sr 3.89, 4 Na 4.31
Sr (0.0000, 0.0000, 0.3618) (multiplicity 2)  4 Li 3.68
Sr (0.5000, 0.5000, 0.1620) (multiplicity 2)  4 Na 3.89, 8 Sr 4.27-4.31
Li (0.5000, 0.5000, 0.5000) (multiplicity 1)  8 Sr 3.68

Record 3
## Na3Sr2Li (GGA-PBE)

Data for a geometry-optimized Na3Sr2Li structure.

**Magnetization**: 0.000 μB per atom
**E_tot**: -8.88 eV/cell
**DOS at the Fermi energy**: 0.78 states/eV per atom

Cell: 4.1273 5.9017 10.1366 Å, 90.00 90.00 90.00°
With the nearest neighbours (Å) after each atom.
Space group Pmm2 (No. 25)
Inequivalent atoms, fractional coordinates:
Na (0.0000, 0.0000, 0.0000) (multiplicity 1)  3 Na 3.41-3.43
Na (0.0000, 0.0000, 0.3383) (multiplicity 1)  2 Li 3.40, 1 Na 3.43, 2 Sr 3.78
Na (0.0000, 0.5000, 0.8310) (multiplicity 1)  1 Li 3.31, 2 Na 3.41
Sr (0.5000, 0.0000, 0.6504) (multiplicity 1)  8 Na 3.78-4.10, 4 Li 3.89, 2 Sr 4.13
Sr (0.5000, 0.5000, 0.1918) (multiplicity 1)  2 Li 3.78, 10 Na 3.90-4.20, 2 Sr 4.13
Li (0.0000, 0.5000, 0.5043) (multiplicity 1)  3 Na 3.31-3.40

Record 4
## NaSr2Li6 (GGA-PBE)

Data for a geometry-optimized NaSr2Li6 structure.

**Magnetization**: 0.000 μB per atom
**E_tot**: -15.88 eV/cell
**DOS at the Fermi energy**: 0.71 states/eV per atom

Cell: 6.7605 6.7605 6.8448 Å, 90.00 90.00 120.00°
With the nearest neighbours (Å) after each atom.
Space group P-3m1 (No. 164)
Inequivalent atoms, fractional coordinates:
Na (0.0000, 0.0000, 0.0000) (multiplicity 1)  6 Li 3.26
Sr (0.3333, 0.6667, 0.8551) (multiplicity 2)  12 Li 3.69-3.86, 3 Na 4.03
Li (0.1836, 0.3672, 0.3579) (multiplicity 6)  4 Li 2.90-3.04

Record 5
## NaSrLi (GGA-PBE)

Data for a geometry-optimized NaSrLi structure.

**Magnetization**: 0.000 μB per atom
**E_tot**: -57.50 eV/cell
**DOS at the Fermi energy**: 0.71 states/eV per atom

Cell: 10.2123 15.2114 8.7574 Å, 90.00 90.00 90.00°
With the nearest neighbours (Å) after each atom.
Space group Ima2 (No. 46)
Inequivalent atoms, fractional coordinates:
Na (0.0000, 0.0000, 0.0000) (multiplicity 4)  4 Li 3.31-3.39, 2 Na 3.66
Na (0.0009, 0.1207, 0.3621) (multiplicity 8)  4 Li 3.32-3.41, 2 Na 3.66-3.67
Sr (0.2500, 0.9999, 0.6628) (multiplicity 4)  5 Li 3.66-3.69, 4 Na 3.90-4.10
Sr (0.2500, 0.2105, 0.0319) (multiplicity 4)  5 Li 3.66-3.71, 4 Na 3.91-4.09
Sr (0.2500, 0.7114, 0.5307) (multiplicity 4)  5 Li 3.66-3.69, 2 Na 3.91
Li (0.0003, 0.1662, 0.7420) (multiplicity 8)  3 Na 3.39-3.41, 6 Sr 3.66
Li (0.2500, 0.5012, 0.7411) (multiplicity 4)  6 Na 3.31-3.32, 3 Sr 3.69-3.71

Record 6
## NaSr2Li2 (GGA-PBE)

Data for a geometry-optimized NaSr2Li2 structure.

**Magnetization**: 0.000 μB per atom
**E_tot**: -15.63 eV/cell
**DOS at the Fermi energy**: 0.91 states/eV per atom

Cell: 9.9289 9.9289 4.0574 Å, 90.00 90.00 90.00°
With the nearest neighbours (Å) after each atom.
Space group P4/mbm (No. 127)
Inequivalent atoms, fractional coordinates:
Na (0.0000, 0.0000, 0.0000) (multiplicity 2)  4 Sr 3.79, 2 Na 4.06
Sr (0.1482, 0.3518, 0.0000) (multiplicity 4)  6 Li 3.53-3.56, 2 Na 3.79
Li (0.1433, 0.6433, 0.5000) (multiplicity 4)  6 Sr 3.53-3.56

- Which of these has the highest E_tot?
  Na3Sr2Li

- Among the records above, which one has the highest E_tot?
  Na3Sr2Li